The following is a SCAN calculation of Hf3Al3C5 at its PBEsol-relaxed geometry, from Alexandria.

Summary:
DOS at the Fermi energy = 1.80 states/eV/cell
ΔE_f = -709 meV per atom
calculated density = 8.7 g/cm³
energy = -24.51 eV/atom

Unit cell a=3.306 b=3.306 c=27.246 alpha=90.00 beta=90.00 gamma=120.00
Atoms (fractional coordinates):
Hf1 0.000 0.000 0.000
Hf2 0.000 0.000 0.500
Hf3 0.333 0.667 0.094
Hf4 0.333 0.667 0.406
Hf5 0.667 0.333 0.594
Hf6 0.667 0.333 0.906
Al1 0.000 0.000 0.250
Al2 0.000 0.000 0.750
Al3 0.333 0.667 0.676
Al4 0.333 0.667 0.824
Al5 0.667 0.333 0.176
Al6 0.667 0.333 0.324
C1 0.000 0.000 0.150
C2 0.000 0.000 0.350
C3 0.000 0.000 0.650
C4 0.000 0.000 0.850
C5 0.333 0.667 0.549
C6 0.333 0.667 0.750
C7 0.333 0.667 0.951
C8 0.667 0.333 0.049
C9 0.667 0.333 0.250
C10 0.667 0.333 0.451